No. 1
# HfPa2AuN5 (PBE-GGA, relaxed)
data_HfPa2AuN5
_cell_length_a 6.2792
_cell_length_b 6.2792
_cell_length_c 11.7195
_cell_angle_alpha 90.00
_cell_angle_beta 90.00
_cell_angle_gamma 145.38
_symmetry_space_group_name_H-M 'P 1'
_symmetry_Int_Tables_number 1
loop_
_symmetry_equiv_pos_as_xyz
'x,y,z'
loop_
_atom_site_label
_atom_site_fract_x
_atom_site_fract_y
_atom_site_fract_z
_atom_site_occupancy
Hf1 0.2175 0.7825 0.5000 1
Hf2 0.7825 0.2175 0.0000 1
Pa1 0.1051 0.8949 0.1717 1
Pa2 0.1548 0.8452 0.7932 1
Pa3 0.8452 0.1548 0.2932 1
Pa4 0.8949 0.1051 0.6717 1
Au1 0.4790 0.5210 0.9537 1
Au2 0.5210 0.4790 0.4537 1
N1 0.0654 0.9346 0.5901 1
N2 0.1959 0.8041 0.9874 1
N3 0.2391 0.7609 0.3171 1
N4 0.2971 0.7029 0.6596 1
N5 0.4774 0.5226 0.2781 1
N6 0.5226 0.4774 0.7781 1
N7 0.7029 0.2971 0.1596 1
N8 0.7609 0.2391 0.8171 1
N9 0.8041 0.1959 0.4874 1
N10 0.9346 0.0654 0.0901 1
# E_form (uncorrected) ... -1.250 eV per atom
# Symmetry ... No. 36


No. 2
# SrLi2GaRh (PBE-GGA, relaxed)
data_SrLi2GaRh
_cell_length_a 4.8344
_cell_length_b 4.8344
_cell_length_c 4.8029
_cell_angle_alpha 90.00
_cell_angle_beta 90.00
_cell_angle_gamma 90.00
_symmetry_space_group_name_H-M 'P 1'
_symmetry_Int_Tables_number 1
loop_
_symmetry_equiv_pos_as_xyz
'x,y,z'
loop_
_atom_site_label
_atom_site_fract_x
_atom_site_fract_y
_atom_site_fract_z
_atom_site_occupancy
Sr1 0.0000 0.0000 0.0000 1
Li1 0.0000 0.5000 0.5000 1
Li2 0.5000 0.0000 0.5000 1
Ga1 0.5000 0.5000 0.0000 1
Rh1 0.5000 0.5000 0.5000 1
# Formation energy ... -1.33 eV per formula unit
# Symmetry ... No. 123


No. 3
# GeS4F (PBE-GGA, relaxed)
data_GeS4F
_cell_length_a 4.6392
_cell_length_b 5.1632
_cell_length_c 7.2561
_cell_angle_alpha 94.07
_cell_angle_beta 105.31
_cell_angle_gamma 98.62
_symmetry_space_group_name_H-M 'P 1'
_symmetry_Int_Tables_number 1
loop_
_symmetry_equiv_pos_as_xyz
'x,y,z'
loop_
_atom_site_label
_atom_site_fract_x
_atom_site_fract_y
_atom_site_fract_z
_atom_site_occupancy
Ge1 0.0000 0.0000 0.0000 1
S1 0.4878 0.9953 0.5586 1
S2 0.5386 0.9382 0.1148 1
S3 0.6586 0.1996 0.3683 1
S4 0.7798 0.7630 0.6979 1
F1 0.0355 0.3397 0.9567 1
# E_form (uncorrected) ... -0.480 eV per atom
# Symmetry ... No. 1